# PBE+U FeBiF2, relaxed
# **E**: -4.165 eV per atom
# **Magnetization**: 3.00 μB/f.u.
# **Excess energy over the best structure of this formula in the dataset**: 2.14 eV/f.u.
data_FeBiF2
_cell_length_a 6.310
_cell_length_b 6.310
_cell_length_c 6.310
_cell_angle_alpha 90.00
_cell_angle_beta 90.00
_cell_angle_gamma 90.00
_space_group_name_H-M_alt 'F m -3 m'
_space_group_IT_number 225
_space_group_name_Hall '-F 4 2 3'
loop_
_atom_site_label
_atom_site_fract_x
_atom_site_fract_y
_atom_site_fract_z
_atom_site_occupancy
Fe1 0.000 0.000 0.000 1
Bi1 0.000 0.000 0.500 1
F1 0.250 0.250 0.250 1